Below is NaLuPt4 after structural relaxation, with properties calculated at the PBE-GGA level.

ΔH_f (0 K) in meV/atom: -786
Fermi-level density of states in states/eV/cell: 6.45
VASP energy in eV per atom: -5.79

Lattice parameters (Å, degrees): 5.369 5.369 5.369 60.00 60.00 60.00
Positions (direct):
1 Pt 0.625 0.125 0.625
2 Pt 0.125 0.625 0.625
3 Pt 0.625 0.625 0.625
4 Pt 0.625 0.625 0.125
5 Lu 0.000 0.000 0.000
6 Na 0.250 0.250 0.250

=====

Below is TlV2Ga after structural relaxation, with properties calculated at the PBE-GGA level.

ΔH_f (0 K) in meV/atom: 663
Excess energy over the best structure of this formula in the dataset in eV/atom: 0.226
Fermi-level density of states in states/eV/cell: 4.92
VASP energy in eV per atom: -5.24

Lattice parameters (Å, degrees): 3.879 3.879 10.014 78.83 78.83 90.00
Positions (direct):
1 V 0.875 0.850 0.750
2 V 0.600 0.125 0.250
3 Ga 0.250 0.750 0.500
4 Ga 0.500 0.500 0.000
5 V 0.150 0.625 0.250
6 V 0.375 0.400 0.750
7 Tl 0.000 0.000 0.000
8 Tl 0.750 0.250 0.500

=====

Below is Pm4Dy4Sc after structural relaxation, with properties calculated at the PBE-GGA level.

ΔH_f (0 K) in meV/atom: 660
Excess energy over the best structure of this formula in the dataset in eV/atom: 0.627
Fermi-level density of states in states/eV/cell: 18.74
VASP energy in eV per atom: -4.20

Lattice parameters (Å, degrees): 5.293 5.293 12.298 102.43 102.43 90.00
Each line ends with the local moment (μB).
Positions (direct):
1 Pm 0.626 0.626 0.747  0.05
2 Dy 0.500 0.000 0.000  0.02
3 Pm 0.121 0.121 0.747  0.05
4 Pm 0.374 0.879 0.253  0.05
5 Dy 0.252 0.252 0.504  0.14
6 Dy 0.748 0.748 0.496  0.14
7 Pm 0.879 0.374 0.253  0.05
8 Sc 0.000 0.000 0.000  0.00
9 Dy 0.000 0.500 0.000  0.02

=====

Below is HoPuPb2O8 after structural relaxation, with properties calculated at the PBE-GGA level.

Fermi-level density of states in states/eV/cell: 5.58
Raw formation energy in meV/atom: -1983
VASP energy in eV per atom: -7.48

Lattice parameters (Å, degrees): 5.164 5.165 6.851 90.00 90.00 90.00
Each line ends with the local moment (μB).
Positions (direct):
1 O 0.307 0.307 0.500  0.03
2 Pb 0.500 0.500 0.250  0.04
3 O 0.183 0.817 0.771  -0.09
4 Pb 0.500 0.500 0.750  0.04
5 Ho 0.000 0.000 0.500  0.01
6 O 0.817 0.183 0.771  -0.09
7 O 0.817 0.183 0.229  -0.09
8 O 0.699 0.699 0.000  -0.01
9 O 0.301 0.301 0.000  -0.01
10 O 0.183 0.817 0.229  -0.09
11 O 0.693 0.693 0.500  0.03
12 Pu 0.000 0.000 0.000  2.91

=====

> Which value of VASP energy does entry 4 give?

-7.48 eV per atom

=====

> Which value of Fermi-level density of states does entry 4 give?

5.58 states/eV/cell

=====

Please write out number 4 again, unchanged.
Below is HoPuPb2O8 after structural relaxation, with properties calculated at the PBE-GGA level.

Fermi-level density of states in states/eV/cell: 5.58
Raw formation energy in meV/atom: -1983
VASP energy in eV per atom: -7.48

Lattice parameters (Å, degrees): 5.164 5.165 6.851 90.00 90.00 90.00
Each line ends with the local moment (μB).
Positions (direct):
1 O 0.307 0.307 0.500  0.03
2 Pb 0.500 0.500 0.250  0.04
3 O 0.183 0.817 0.771  -0.09
4 Pb 0.500 0.500 0.750  0.04
5 Ho 0.000 0.000 0.500  0.01
6 O 0.817 0.183 0.771  -0.09
7 O 0.817 0.183 0.229  -0.09
8 O 0.699 0.699 0.000  -0.01
9 O 0.301 0.301 0.000  -0.01
10 O 0.183 0.817 0.229  -0.09
11 O 0.693 0.693 0.500  0.03
12 Pu 0.000 0.000 0.000  2.91

=====

> Look up the VASP energy of the third one.

-4.20 eV per atom